No. 1
! PuSi2Ni2 (SCAN, single point on PBEsol structure); values from VASP
! Energy relative to the elements, uncorrected = -0.5427 eV per atom
! Space-group type = I4/mmm (139)
! Total moment = 1.103 μB/atom
&SYSTEM
  ibrav = 0, nat = 5, ntyp = 3
/
ATOMIC_SPECIES
Pu 244.00 Pu.upf
Si 28.09 Si.upf
Ni 58.69 Ni.upf
CELL_PARAMETERS angstrom
3.890 0.000 0.000
0.000 3.890 0.000
-1.945 -1.945 4.786
ATOMIC_POSITIONS crystal
Pu 0.000 0.000 0.000
Si 0.375 0.375 0.751
Si 0.625 0.625 0.249
Ni 0.750 0.250 0.500
Ni 0.250 0.750 0.500

=====

No. 2
! RbReNi3 (SCAN, single point on PBEsol structure); values from VASP
! ΔH_f (0 K) = 1223.0 meV/atom
! Space-group type = Pm-3m (221)
! Total moment = 0.000 μB/atom
&SYSTEM
  ibrav = 0, nat = 5, ntyp = 3
/
ATOMIC_SPECIES
Ni 58.69 Ni.upf
Rb 85.47 Rb.upf
Re 186.21 Re.upf
CELL_PARAMETERS angstrom
-1.782 -1.867 3.832
4.021 -2.114 0.841
1.413 3.659 2.441
ATOMIC_POSITIONS crystal
Ni 0.000 0.500 0.000
Ni 0.000 0.000 0.500
Ni 0.500 0.000 0.000
Rb 0.500 0.500 0.500
Re 0.000 0.000 0.000

=====

No. 3
! RbZnNiRh2 (SCAN, single point on PBEsol structure); values from VASP
! ΔH_f (0 K) = 2504.7 meV/atom
! Space-group type = P4/mmm (123)
! Total moment = 0.213 μB/atom
&SYSTEM
  ibrav = 0, nat = 5, ntyp = 4
/
ATOMIC_SPECIES
Ni 58.69 Ni.upf
Rh 102.91 Rh.upf
Zn 65.41 Zn.upf
Rb 85.47 Rb.upf
CELL_PARAMETERS angstrom
-4.420 0.820 1.232
-0.367 -4.367 1.588
1.558 1.531 4.571
ATOMIC_POSITIONS crystal
Ni 0.500 0.500 0.500
Rh 0.500 0.000 0.000
Rh 0.000 0.500 0.000
Zn 0.000 0.000 0.500
Rb 0.000 0.000 0.000